Compound: SrTaTeSe2
Source: the Alexandria database
Functional: GGA-PBE
Structure: relaxed

Crystal system: tetragonal

Geometry as CIF:
```
data_SrTaTeSe2
_space_group_name_H-M_alt 'P 4/m m m'
_space_group_IT_number 123
_space_group_name_Hall '-P 4 2'
_cell_length_a 5.032
_cell_length_b 5.032
_cell_length_c 5.692
_cell_angle_alpha 90.00
_cell_angle_beta 90.00
_cell_angle_gamma 90.00
loop_
_atom_site_label
_atom_site_fract_x
_atom_site_fract_y
_atom_site_fract_z
_atom_site_occupancy
Sr1 0.000 0.000 0.000 1
Ta1 0.500 0.500 0.500 1
Te1 0.500 0.500 0.000 1
Se1 0.000 0.500 0.500 1
```

Compound: SrTaTe2Se
Source: the Alexandria database
Functional: GGA-PBE
Structure: relaxed

Crystal system: tetragonal

Geometry as CIF:
```
data_SrTaTe2Se
_space_group_name_H-M_alt 'P 4/m m m'
_space_group_IT_number 123
_space_group_name_Hall '-P 4 2'
_cell_length_a 5.614
_cell_length_b 5.614
_cell_length_c 4.923
_cell_angle_alpha 90.00
_cell_angle_beta 90.00
_cell_angle_gamma 90.00
loop_
_atom_site_label
_atom_site_fract_x
_atom_site_fract_y
_atom_site_fract_z
_atom_site_occupancy
Sr1 0.000 0.000 0.000 1
Ta1 0.500 0.500 0.500 1
Te1 0.000 0.500 0.500 1
Se1 0.500 0.500 0.000 1
```

Compound: Sr2TaTl2Se6
Source: the Alexandria database
Functional: GGA-PBE
Structure: relaxed

Crystal system: monoclinic

Geometry as CIF:
```
data_Sr2TaTl2Se6
_space_group_name_H-M_alt 'C 1 2/m 1'
_space_group_IT_number 12
_cell_length_a 7.593
_cell_length_b 12.716
_cell_length_c 7.545
_cell_angle_alpha 90.00
_cell_angle_beta 107.74
_cell_angle_gamma 90.00
loop_
_space_group_symop_operation_xyz
'x,y,z'
'-x,-y,-z'
'-x,y,-z'
'x,-y,z'
'x+1/2,y+1/2,z'
'-x+1/2,-y+1/2,-z'
'-x+1/2,y+1/2,-z'
'x+1/2,-y+1/2,z'
loop_
_atom_site_label
_atom_site_fract_x
_atom_site_fract_y
_atom_site_fract_z
_atom_site_occupancy
Sr1 0.000 0.167 0.000 1
Ta1 0.000 0.500 0.000 1
Tl1 0.000 0.338 0.500 1
Se1 0.210 0.357 0.213 1
Se2 0.213 0.500 0.785 1
```

Compound: SrTaZn2Se
Source: the Alexandria database
Functional: GGA-PBE
Structure: relaxed

Crystal system: tetragonal

Geometry as CIF:
```
data_SrTaZn2Se
_space_group_name_H-M_alt 'P 4/m m m'
_space_group_IT_number 123
_space_group_name_Hall '-P 4 2'
_cell_length_a 4.966
_cell_length_b 4.966
_cell_length_c 5.619
_cell_angle_alpha 90.00
_cell_angle_beta 90.00
_cell_angle_gamma 90.00
loop_
_atom_site_label
_atom_site_fract_x
_atom_site_fract_y
_atom_site_fract_z
_atom_site_occupancy
Sr1 0.000 0.000 0.000 1
Ta1 0.500 0.500 0.000 1
Zn1 0.000 0.500 0.500 1
Se1 0.000 0.000 0.500 1
```

Compound: SrTb6Se8
Source: the Alexandria database
Functional: GGA-PBE
Structure: relaxed

Crystal system: trigonal

Geometry as CIF:
```
data_SrTb6Se8
_space_group_name_H-M_alt 'R -3'
_space_group_IT_number 148
_space_group_name_Hall '-R 3'
_cell_length_a 11.6185
_cell_length_b 11.6185
_cell_length_c 12.7760
_cell_angle_alpha 90.00
_cell_angle_beta 90.00
_cell_angle_gamma 120.00
loop_
_atom_site_label
_atom_site_fract_x
_atom_site_fract_y
_atom_site_fract_z
_atom_site_occupancy
Sr1 0.0000 0.0000 0.0000 1
Tb1 0.0118 0.8217 0.3823 1
Se1 0.0000 0.0000 0.2352 1
Se2 0.0293 0.7319 0.5902 1
```

Compound: Sr5TbSe6
Source: the Alexandria database
Functional: GGA-PBE
Structure: relaxed

Crystal system: monoclinic

Geometry as CIF:
```
data_Sr5TbSe6
_space_group_name_H-M_alt 'C 1 2/m 1'
_space_group_IT_number 12
_cell_length_a 7.583
_cell_length_b 13.126
_cell_length_c 7.583
_cell_angle_alpha 90.00
_cell_angle_beta 109.50
_cell_angle_gamma 90.00
loop_
_space_group_symop_operation_xyz
'x,y,z'
'-x,-y,-z'
'-x,y,-z'
'x,-y,z'
'x+1/2,y+1/2,z'
'-x+1/2,-y+1/2,-z'
'-x+1/2,y+1/2,-z'
'x+1/2,-y+1/2,z'
loop_
_atom_site_label
_atom_site_fract_x
_atom_site_fract_y
_atom_site_fract_z
_atom_site_occupancy
Sr1 0.000 0.000 0.000 1
Sr2 0.000 0.166 0.500 1
Sr3 0.000 0.331 0.000 1
Tb1 0.000 0.500 0.500 1
Se1 0.237 0.500 0.258 1
Se2 0.240 0.340 0.741 1
```

Compound: SrTb3Se4
Source: the Alexandria database
Functional: GGA-PBE
Structure: relaxed

Crystal system: orthorhombic

Geometry as CIF:
```
data_SrTb3Se4
_space_group_name_H-M_alt 'C m m m'
_space_group_IT_number 65
_space_group_name_Hall '-C 2 2'
_cell_length_a 8.386
_cell_length_b 11.776
_cell_length_c 4.146
_cell_angle_alpha 90.00
_cell_angle_beta 90.00
_cell_angle_gamma 90.00
loop_
_atom_site_label
_atom_site_fract_x
_atom_site_fract_y
_atom_site_fract_z
_atom_site_occupancy
Sr1 0.000 0.000 0.000 1
Tb1 0.000 0.500 0.000 1
Tb2 0.250 0.250 0.500 1
Se1 0.000 0.255 0.000 1
Se2 0.239 0.500 0.500 1
```

Compound: Sr3TbSe4
Source: the Alexandria database
Functional: GGA-PBE
Structure: relaxed

Crystal system: orthorhombic

Geometry as CIF:
```
data_Sr3TbSe4
_space_group_name_H-M_alt 'C m m m'
_space_group_IT_number 65
_space_group_name_Hall '-C 2 2'
_cell_length_a 8.722
_cell_length_b 12.281
_cell_length_c 4.324
_cell_angle_alpha 90.00
_cell_angle_beta 90.00
_cell_angle_gamma 90.00
loop_
_atom_site_label
_atom_site_fract_x
_atom_site_fract_y
_atom_site_fract_z
_atom_site_occupancy
Sr1 0.000 0.000 0.000 1
Sr2 0.250 0.250 0.500 1
Tb1 0.000 0.500 0.000 1
Se1 0.000 0.259 0.000 1
Se2 0.235 0.500 0.500 1
```

Compound: SrTb4Se5
Source: the Alexandria database
Functional: GGA-PBE
Structure: relaxed

Crystal system: monoclinic

Geometry as CIF:
```
data_SrTb4Se5
_space_group_name_H-M_alt 'C 1 2/m 1'
_space_group_IT_number 12
_cell_length_a 13.851
_cell_length_b 4.134
_cell_length_c 10.187
_cell_angle_alpha 90.00
_cell_angle_beta 119.54
_cell_angle_gamma 90.00
loop_
_space_group_symop_operation_xyz
'x,y,z'
'-x,-y,-z'
'-x,y,-z'
'x,-y,z'
'x+1/2,y+1/2,z'
'-x+1/2,-y+1/2,-z'
'-x+1/2,y+1/2,-z'
'x+1/2,-y+1/2,z'
loop_
_atom_site_label
_atom_site_fract_x
_atom_site_fract_y
_atom_site_fract_z
_atom_site_occupancy
Sr1 0.000 0.000 0.000 1
Tb1 0.094 0.500 0.403 1
Tb2 0.197 0.000 0.785 1
Se1 0.000 0.000 0.500 1
Se2 0.110 0.500 0.899 1
Se3 0.201 0.000 0.310 1
```

Compound: SrTb2Se3
Source: the Alexandria database
Functional: GGA-PBE
Structure: relaxed

Crystal system: orthorhombic

Geometry as CIF:
```
data_SrTb2Se3
_space_group_name_H-M_alt 'I m m m'
_space_group_IT_number 71
_space_group_name_Hall '-I 2 2'
_cell_length_a 4.173
_cell_length_b 5.932
_cell_length_c 12.634
_cell_angle_alpha 90.00
_cell_angle_beta 90.00
_cell_angle_gamma 90.00
loop_
_atom_site_label
_atom_site_fract_x
_atom_site_fract_y
_atom_site_fract_z
_atom_site_occupancy
Sr1 0.000 0.000 0.000 1
Tb1 0.000 0.000 0.338 1
Se1 0.000 0.500 0.000 1
Se2 0.000 0.500 0.324 1
```

Compound: Sr3Tb4Se8
Source: the Alexandria database
Functional: GGA-PBE
Structure: relaxed

Crystal system: monoclinic

Geometry as CIF:
```
data_Sr3Tb4Se8
_space_group_name_H-M_alt 'C 1 2/m 1'
_space_group_IT_number 12
_cell_length_a 11.942
_cell_length_b 11.980
_cell_length_c 8.380
_cell_angle_alpha 90.00
_cell_angle_beta 134.21
_cell_angle_gamma 90.00
loop_
_space_group_symop_operation_xyz
'x,y,z'
'-x,-y,-z'
'-x,y,-z'
'x,-y,z'
'x+1/2,y+1/2,z'
'-x+1/2,-y+1/2,-z'
'-x+1/2,y+1/2,-z'
'x+1/2,-y+1/2,z'
loop_
_atom_site_label
_atom_site_fract_x
_atom_site_fract_y
_atom_site_fract_z
_atom_site_occupancy
Sr1 0.000 0.000 0.000 1
Sr2 0.250 0.250 0.000 1
Tb1 0.000 0.500 0.000 1
Tb2 0.000 0.500 0.500 1
Tb3 0.250 0.250 0.500 1
Se1 0.000 0.256 0.000 1
Se2 0.000 0.256 0.500 1
Se3 0.231 0.500 0.980 1
Se4 0.240 0.500 0.487 1
```

Compound: SrTbTm2Se4
Source: the Alexandria database
Functional: GGA-PBE
Structure: relaxed

Crystal system: monoclinic

Geometry as CIF:
```
data_SrTbTm2Se4
_space_group_name_H-M_alt 'P 1 2/m 1'
_space_group_IT_number 10
_cell_length_a 7.158
_cell_length_b 4.101
_cell_length_c 7.164
_cell_angle_alpha 90.00
_cell_angle_beta 109.04
_cell_angle_gamma 90.00
loop_
_space_group_symop_operation_xyz
'x,y,z'
'-x,-y,-z'
'-x,y,-z'
'x,-y,z'
loop_
_atom_site_label
_atom_site_fract_x
_atom_site_fract_y
_atom_site_fract_z
_atom_site_occupancy
Sr1 0.000 0.000 0.000 1
Tb1 0.500 0.500 0.000 1
Tm1 0.000 0.500 0.500 1
Tm2 0.500 0.000 0.500 1
Se1 0.252 0.000 0.738 1
Se2 0.262 0.500 0.268 1
```

no.,formation energy from raw total energies (eV per formula unit),DOS(E_F) (states/eV per atom)
1,-4.17,0.7392
2,-3.35,0.3826
3,-11.19,0.2589
4,4.52,0.7123
5,-24.29,0.4205
6,-23.95,0.2133
7,-14.51,0.3717
8,-15.69,0.3309
9,-18.14,0.3250
10,-10.98,0.3526
11,-28.49,0.2782
12,-14.08,0.3856